ScIr2Pb: optimized geometry, PBE-GGA.

Unit cell a=3.139 b=3.699 c=6.204 alpha=90.00 beta=90.00 gamma=90.00
Element x y z (fractional)
Sc 0.000 0.000 0.000
Ir 0.500 0.500 0.237
Ir 0.500 0.500 0.763
Pb 0.000 0.000 0.500

**Formation energy from the elements**: -1.16 eV per formula unit
**Final energy**: -0.531 Ry per atom
**SG**: No. 47